# 1
Density functional theory data (PBE-GGA) for Ba2GaAu2 after structural relaxation.

Cell and atoms, written as POSCAR:
```
Ba2GaAu2
1.0
8.475 0.000 0.000
0.000 8.475 0.000
0.000 0.000 4.412
Ba Ga Au
4 2 4
direct
0.180 0.320 0.000
0.320 0.820 0.000
0.680 0.180 0.000
0.820 0.680 0.000
0.000 0.000 0.500
0.500 0.500 0.500
0.122 0.622 0.500
0.378 0.122 0.500
0.622 0.878 0.500
0.878 0.378 0.500
```

Output
The volume is 317 Å³ per cell. The space-group type is P4/mbm (127). As for the total magnetization: 0.00 μB/cell. For the energy above the most stable polymorph in this dataset, the calculation gives 0.422 eV/f.u. The formation energy is -542 meV/atom.

---

# 2
Density functional theory data (PBE-GGA) for BaGa3Au3 after structural relaxation.

Cell and atoms, written as POSCAR:
```
BaGa3Au3
1.0
9.403 0.000 0.000
-4.702 8.143 0.000
0.000 0.000 4.889
Ba Ga Au
2 6 6
direct
0.333 0.667 0.250
0.667 0.333 0.750
0.038 0.357 0.750
0.319 0.962 0.750
0.357 0.319 0.250
0.643 0.681 0.750
0.681 0.038 0.250
0.962 0.643 0.250
0.061 0.676 0.750
0.324 0.385 0.750
0.385 0.061 0.250
0.615 0.939 0.750
0.676 0.615 0.250
0.939 0.324 0.250
```

Output
The volume is 374 Å³ per cell. The space-group type is P6_3/m (176). As for the total magnetization: 0.00 μB/cell. For the energy above the most stable polymorph in this dataset, the calculation gives 0.122 eV/f.u. The formation energy is -361 meV/atom.

---

# 3
Density functional theory data (PBE-GGA) for BaGaAu4 after structural relaxation.

Cell and atoms, written as POSCAR:
```
BaGaAu4
1.0
5.388 -3.772 0.000
5.388 3.772 0.000
-2.465 0.000 6.877
Ba Ga Au
2 2 8
direct
0.171 0.171 0.282
0.829 0.829 0.718
0.409 0.409 0.748
0.591 0.591 0.252
0.168 0.168 0.736
0.186 0.588 0.073
0.289 0.711 0.500
0.412 0.814 0.927
0.588 0.186 0.073
0.711 0.289 0.500
0.814 0.412 0.927
0.832 0.832 0.264
```

Output
The volume is 280 Å³ per cell. The space-group type is C2/m (12). As for the total magnetization: 0.00 μB/cell. For the energy above the most stable polymorph in this dataset, the calculation gives 0.000 eV/f.u. The formation energy is -458 meV/atom.

---

# 4
Density functional theory data (PBE-GGA) for BaGa2Au8 after structural relaxation.

Cell and atoms, written as POSCAR:
```
BaGa2Au8
1.0
5.596 0.000 0.000
0.000 5.596 0.000
0.000 0.000 9.154
Ba Ga Au
1 2 8
direct
0.000 0.000 0.000
0.000 0.500 0.500
0.500 0.000 0.500
0.252 0.252 0.302
0.252 0.252 0.698
0.252 0.748 0.302
0.252 0.748 0.698
0.748 0.252 0.302
0.748 0.252 0.698
0.748 0.748 0.302
0.748 0.748 0.698
```

Output
The volume is 287 Å³ per cell. The space-group type is P4/mmm (123). As for the total magnetization: 0.00 μB/cell. The formation energy is -155 meV/atom.

---

# 5
Density functional theory data (PBE-GGA) for BaGaAu4 after structural relaxation.

Cell and atoms, written as POSCAR:
```
BaGaAu4
1.0
6.064 -3.404 0.000
6.064 3.404 0.000
-1.388 0.000 7.037
Ba Ga Au
2 2 8
direct
0.220 0.220 0.311
0.780 0.780 0.689
0.466 0.466 0.747
0.534 0.534 0.253
0.120 0.703 0.109
0.219 0.781 0.500
0.278 0.278 0.838
0.297 0.880 0.891
0.703 0.120 0.109
0.722 0.722 0.162
0.781 0.219 0.500
0.880 0.297 0.891
```

Output
The volume is 290 Å³ per cell. The space-group type is C2/m (12). As for the total magnetization: 0.00 μB/cell. For the energy above the most stable polymorph in this dataset, the calculation gives 0.149 eV/f.u. The formation energy is -434 meV/atom.

---

# 6
Density functional theory data (PBE-GGA) for Ba6GaAu3 after structural relaxation.

Cell and atoms, written as POSCAR:
```
Ba6GaAu3
1.0
12.584 0.000 0.000
0.000 5.048 0.000
-5.273 0.000 13.054
Ba Ga Au
12 2 6
direct
0.024 0.250 0.386
0.093 0.250 0.926
0.250 0.750 0.309
0.343 0.750 0.797
0.371 0.750 0.105
0.391 0.250 0.567
0.609 0.750 0.433
0.629 0.250 0.895
0.657 0.250 0.203
0.750 0.250 0.691
0.907 0.750 0.074
0.976 0.750 0.614
0.429 0.250 0.293
0.571 0.750 0.707
0.096 0.250 0.168
0.191 0.750 0.526
0.400 0.250 0.964
0.600 0.750 0.036
0.809 0.250 0.474
0.904 0.750 0.832
```

Output
The volume is 829 Å³ per cell. The space-group type is P2_1/m (11). As for the total magnetization: 0.00 μB/cell. The formation energy is -476 meV/atom.

---

# 7
Density functional theory data (PBE-GGA) for Ba2GaAu6 after structural relaxation.

Cell and atoms, written as POSCAR:
```
Ba2GaAu6
1.0
5.644 -3.258 0.000
5.644 3.258 0.000
-0.006 0.000 5.945
Ba Ga Au
2 1 6
direct
0.166 0.166 0.173
0.834 0.834 0.827
0.500 0.500 0.000
0.147 0.676 0.315
0.322 0.322 0.686
0.324 0.853 0.685
0.676 0.147 0.315
0.678 0.678 0.314
0.853 0.324 0.685
```

Output
The volume is 219 Å³ per cell. The space-group type is C2/m (12). As for the total magnetization: 0.00 μB/cell. The formation energy is -500 meV/atom.

---

# 8
Density functional theory data (PBE-GGA) for BaGa3Au3 after structural relaxation.

Cell and atoms, written as POSCAR:
```
BaGa3Au3
1.0
7.174 0.000 0.000
0.000 7.174 0.000
0.000 0.000 7.174
Ba Ga Au
2 6 6
direct
0.000 0.000 0.000
0.500 0.500 0.500
0.000 0.250 0.500
0.000 0.750 0.500
0.250 0.500 0.000
0.500 0.000 0.250
0.500 0.000 0.750
0.750 0.500 0.000
0.000 0.500 0.250
0.000 0.500 0.750
0.250 0.000 0.500
0.500 0.250 0.000
0.500 0.750 0.000
0.750 0.000 0.500
```

Output
The volume is 369 Å³ per cell. The space-group type is Pm-3n (223). As for the total magnetization: 0.00 μB/cell. For the energy above the most stable polymorph in this dataset, the calculation gives 0.000 eV/f.u. The formation energy is -378 meV/atom.

---

# 9
Density functional theory data (PBE-GGA) for Ba3Ga3Au8 after structural relaxation.

Cell and atoms, written as POSCAR:
```
Ba3Ga3Au8
1.0
8.763 -2.331 0.000
8.763 2.331 0.000
-4.849 0.000 8.358
Ba Ga Au
3 3 8
direct
0.000 0.000 0.000
0.296 0.296 0.337
0.704 0.704 0.663
0.000 0.000 0.500
0.325 0.325 0.991
0.675 0.675 0.009
0.105 0.105 0.385
0.142 0.142 0.853
0.361 0.361 0.755
0.480 0.480 0.293
0.520 0.520 0.707
0.639 0.639 0.245
0.858 0.858 0.147
0.895 0.895 0.615
```

Output
The volume is 341 Å³ per cell. The space-group type is C2/m (12). As for the total magnetization: 0.00 μB/cell. The formation energy is -543 meV/atom.

---

# 10
Density functional theory data (PBE-GGA) for Ba3Ga2Au3 after structural relaxation.

Cell and atoms, written as POSCAR:
```
Ba3Ga2Au3
1.0
2.366 -6.149 0.000
2.366 6.149 0.000
0.000 0.000 16.373
Ba Ga Au
6 4 6
direct
0.077 0.923 0.604
0.077 0.923 0.896
0.364 0.636 0.750
0.636 0.364 0.250
0.923 0.077 0.104
0.923 0.077 0.396
0.214 0.786 0.089
0.214 0.786 0.411
0.786 0.214 0.589
0.786 0.214 0.911
0.330 0.670 0.250
0.360 0.640 0.543
0.360 0.640 0.957
0.640 0.360 0.043
0.640 0.360 0.457
0.670 0.330 0.750
```

Output
The volume is 476 Å³ per cell. The space-group type is Cmcm (63). As for the total magnetization: 0.00 μB/cell. For the energy above the most stable polymorph in this dataset, the calculation gives 0.000 eV/f.u. The formation energy is -603 meV/atom.

---

# 11
Density functional theory data (PBE-GGA) for BaGa3Au after structural relaxation.

Cell and atoms, written as POSCAR:
```
BaGa3Au
1.0
5.148 0.000 0.000
0.000 5.148 0.000
0.000 0.000 5.148
Ba Ga Au
1 3 1
direct
0.000 0.000 0.000
0.000 0.500 0.500
0.500 0.000 0.500
0.500 0.500 0.000
0.500 0.500 0.500
```

Output
The volume is 136 Å³ per cell. The space-group type is Pm-3m (221). As for the total magnetization: 0.00 μB/cell. The formation energy is -126 meV/atom.

---

# 12
Density functional theory data (PBE-GGA) for BaGa5Au3 after structural relaxation.

Cell and atoms, written as POSCAR:
```
BaGa5Au3
1.0
2.185 -6.641 0.000
2.185 6.641 0.000
0.000 0.000 13.593
Ba Ga Au
2 10 6
direct
0.170 0.830 0.750
0.830 0.170 0.250
0.000 0.000 0.000
0.000 0.000 0.500
0.187 0.813 0.072
0.187 0.813 0.428
0.456 0.544 0.651
0.456 0.544 0.849
0.544 0.456 0.151
0.544 0.456 0.349
0.813 0.187 0.572
0.813 0.187 0.928
0.109 0.891 0.250
0.377 0.623 0.044
0.377 0.623 0.456
0.623 0.377 0.544
0.623 0.377 0.956
0.891 0.109 0.750
```

Output
The volume is 395 Å³ per cell. The space-group type is Cmcm (63). As for the total magnetization: 0.00 μB/cell. The formation energy is -392 meV/atom.

---

# 13
Density functional theory data (PBE-GGA) for BaGa11Au after structural relaxation.

Cell and atoms, written as POSCAR:
```
BaGa11Au
1.0
2.896 -6.710 0.000
2.896 6.710 0.000
-2.830 0.000 6.889
Ba Ga Au
1 11 1
direct
0.000 0.000 0.000
0.000 0.000 0.500
0.000 0.360 0.360
0.000 0.500 0.000
0.000 0.640 0.640
0.279 0.497 0.779
0.360 0.000 0.360
0.497 0.279 0.779
0.500 0.000 0.000
0.503 0.721 0.221
0.640 0.000 0.640
0.721 0.503 0.221
0.500 0.500 0.500
```

Output
The volume is 268 Å³ per cell. The space-group type is C2/m (12). As for the total magnetization: 0.00 μB/cell. The formation energy is -152 meV/atom.

---

# 14
Density functional theory data (PBE-GGA) for BaGa3Au6 after structural relaxation.

Cell and atoms, written as POSCAR:
```
BaGa3Au6
1.0
3.441 1.987 5.664
-3.441 1.987 5.664
0.000 -3.973 5.664
Ba Ga Au
1 3 6
direct
0.000 0.000 0.000
0.194 0.194 0.194
0.458 0.458 0.458
0.708 0.708 0.708
0.037 0.424 0.487
0.084 0.563 0.825
0.424 0.487 0.037
0.487 0.037 0.424
0.563 0.825 0.084
0.825 0.084 0.563
```

Output
The volume is 232 Å³ per cell. The space-group type is R3 (146). As for the total magnetization: 0.00 μB/cell. The formation energy is -302 meV/atom.

---

# 15
Density functional theory data (PBE-GGA) for Ba8Ga2Au after structural relaxation.

Cell and atoms, written as POSCAR:
```
Ba8Ga2Au
1.0
10.608 -2.902 0.000
10.608 2.902 0.000
-2.099 0.000 7.825
Ba Ga Au
8 2 1
direct
0.037 0.037 0.300
0.210 0.210 0.817
0.335 0.335 0.535
0.405 0.405 0.069
0.595 0.595 0.931
0.665 0.665 0.465
0.790 0.790 0.183
0.963 0.963 0.700
0.188 0.188 0.216
0.812 0.812 0.784
0.500 0.500 0.500
```

Output
The volume is 482 Å³ per cell. The space-group type is C2/m (12). As for the total magnetization: 0.00 μB/cell. The formation energy is -253 meV/atom.

---

# 16
Density functional theory data (PBE-GGA) for Ba3GaAu3 after structural relaxation.

Cell and atoms, written as POSCAR:
```
Ba3GaAu3
1.0
9.681 0.000 0.000
-4.840 8.384 0.000
0.000 0.000 6.669
Ba Ga Au
6 2 6
direct
0.067 0.361 0.250
0.294 0.933 0.250
0.361 0.294 0.750
0.639 0.706 0.250
0.706 0.067 0.750
0.933 0.639 0.750
0.333 0.667 0.750
0.667 0.333 0.250
0.075 0.389 0.750
0.313 0.925 0.750
0.389 0.313 0.250
0.611 0.687 0.750
0.687 0.075 0.250
0.925 0.611 0.250
```

Output
The volume is 541 Å³ per cell. The space-group type is P6_3/m (176). As for the total magnetization: 0.00 μB/cell. For the energy above the most stable polymorph in this dataset, the calculation gives 0.656 eV/f.u. The formation energy is -560 meV/atom.

---

# 17
Density functional theory data (PBE-GGA) for Ba2GaAu5 after structural relaxation.

Cell and atoms, written as POSCAR:
```
Ba2GaAu5
1.0
-3.334 3.334 5.064
3.334 -3.334 5.064
3.334 3.334 -5.064
Ba Ga Au
2 1 5
direct
0.000 0.500 0.500
0.500 0.000 0.500
0.325 0.325 0.000
0.522 0.522 0.534
0.522 0.988 0.000
0.579 0.579 0.000
0.988 0.522 0.000
0.988 0.988 0.466
```

Output
The volume is 225 Å³ per cell. The space-group type is I4mm (107). As for the total magnetization: 0.00 μB/cell. The formation energy is -563 meV/atom.

---

# 18
Density functional theory data (PBE-GGA) for Ba2Ga2Au5 after structural relaxation.

Cell and atoms, written as POSCAR:
```
Ba2Ga2Au5
1.0
5.025 0.000 0.000
0.000 5.025 0.000
0.000 0.000 9.019
Ba Ga Au
2 2 5
direct
0.000 0.000 0.000
0.000 0.000 0.500
0.500 0.500 0.176
0.500 0.500 0.824
0.000 0.500 0.254
0.000 0.500 0.746
0.500 0.000 0.254
0.500 0.000 0.746
0.500 0.500 0.500
```

Output
The volume is 228 Å³ per cell. The space-group type is P4/mmm (123). As for the total magnetization: 0.00 μB/cell. The formation energy is -506 meV/atom.

---

# 19
Density functional theory data (PBE-GGA) for BaGa5Au7 after structural relaxation.

Cell and atoms, written as POSCAR:
```
BaGa5Au7
1.0
-2.785 4.857 4.706
2.785 -4.857 4.706
2.785 4.857 -4.706
Ba Ga Au
1 5 7
direct
0.000 0.000 0.000
0.485 0.500 0.501
0.485 0.984 0.985
0.765 0.265 0.500
0.999 0.500 0.015
0.999 0.984 0.499
0.192 0.481 0.712
0.227 0.727 0.500
0.347 0.347 0.000
0.359 0.013 0.346
0.663 0.663 0.000
0.667 0.013 0.654
0.769 0.481 0.288
```

Output
The volume is 255 Å³ per cell. The space-group type is Imm2 (44). As for the total magnetization: 0.00 μB/cell. The formation energy is -247 meV/atom.

---

# 20
Density functional theory data (PBE-GGA) for BaGa6Au12 after structural relaxation.

Cell and atoms, written as POSCAR:
```
BaGa6Au12
1.0
5.955 3.438 3.107
-5.955 3.438 3.107
0.000 -6.876 3.107
Ba Ga Au
1 6 12
direct
0.000 0.000 0.000
0.272 0.272 0.692
0.272 0.692 0.272
0.308 0.728 0.728
0.692 0.272 0.272
0.728 0.308 0.728
0.728 0.728 0.308
0.118 0.500 0.882
0.118 0.882 0.500
0.143 0.396 0.396
0.396 0.143 0.396
0.396 0.396 0.143
0.500 0.118 0.882
0.500 0.882 0.118
0.604 0.604 0.857
0.604 0.857 0.604
0.857 0.604 0.604
0.882 0.118 0.500
0.882 0.500 0.118
```

Output
The volume is 382 Å³ per cell. The space-group type is R-3m (166). As for the total magnetization: 0.00 μB/cell. The formation energy is -234 meV/atom.

---

| no. | E (hartree per atom) |
| --- | --- |
| 1 | -0.11859 |
| 2 | -0.12263 |
| 3 | -0.12745 |
| 4 | -0.11992 |
| 5 | -0.12654 |
| 6 | -0.10716 |
| 7 | -0.12671 |
| 8 | -0.12327 |
| 9 | -0.12776 |
| 10 | -0.12163 |
| 11 | -0.10959 |
| 12 | -0.12419 |
| 13 | -0.11441 |
| 14 | -0.12381 |
| 15 | -0.09188 |
| 16 | -0.11836 |
| 17 | -0.12752 |
| 18 | -0.12593 |
| 19 | -0.12214 |
| 20 | -0.12353 |